Entry from the Alexandria database: Pr5Mg2Sn5 after structural relaxation (PBE).

Unit cell a=13.2700 b=4.5868 c=13.1722 alpha=90.00 beta=117.32 gamma=90.00
With the nearest neighbours (Å) after each atom.
Space group C2/m (No. 12)
Symmetry-distinct sites (fractional):
Pr 0.0000 0.0000 0.0000 (multiplicity 2)  6 Sn 3.35-3.44
Pr 0.1060 0.5000 0.7708 (multiplicity 4)  5 Sn 3.28-3.39, 2 Mg 3.52, 1 Pr 3.64
Pr 0.1559 0.5000 0.4961 (multiplicity 4)  5 Sn 3.10-3.42, 2 Pr 3.36, 1 Mg 3.39
Mg 0.2157 0.5000 0.2719 (multiplicity 4)  3 Sn 2.86-2.90
Sn 0.0000 0.0000 0.5000 (multiplicity 2)  4 Pr 3.10
Sn 0.0924 0.0000 0.2832 (multiplicity 4)  2 Mg 2.86
Sn 0.2112 0.5000 0.0500 (multiplicity 4)  1 Mg 2.90, 2 Sn 3.05

Values from the calculation:
DFT total energy	-4.434	eV per atom
V	712.3	Å³/cell
DFT formation energy	-509	meV/atom


Entry from the Alexandria database: PrMgSn2 after structural relaxation (PBE).

Unit cell a=3.8386 b=3.8386 c=7.1800 alpha=90.00 beta=90.00 gamma=90.00
With the nearest neighbours (Å) after each atom.
Space group P4/mmm (No. 123)
Symmetry-distinct sites (fractional):
Pr 0.0000 0.0000 0.0000 (multiplicity 1)  8 Sn 3.40, 2 Mg 3.59
Mg 0.0000 0.0000 0.5000 (multiplicity 1)  8 Sn 3.12
Sn 0.5000 0.5000 0.2859 (multiplicity 2)  1 Sn 3.08, 4 Mg 3.12, 4 Pr 3.40

Values from the calculation:
DFT total energy	-3.998	eV per atom
V	105.8	Å³/cell
DFT formation energy	-403	meV/atom